Entry from Alexandria: a geometry-optimized PmBeAu4 structure (PBE-GGA).

Magnetization (μB/f.u.): 0.0
E_form (eV/atom): -0.301
Offset from the most stable computed form (eV per atom): 0.164

Lattice parameters (Å, degrees): 4.126 4.126 7.406 90.00 90.00 90.00
Atoms (fractional coordinates):
Au 0.500 0.000 0.306
Au 0.000 0.500 0.694
Au 0.000 0.500 0.306
Au 0.500 0.000 0.694
Be 0.500 0.500 0.500
Pm 0.000 0.000 0.000